Compound: GeW2O
Source: Alexandria
Functional: PBE with a Hubbard U
Structure: optimized geometry

Values from the calculation:
relative energy among the computed polymorphs = 0.00 eV/f.u.
spin magnetization = 3.9 μB per formula unit
total energy = -5.766 eV per atom
symmetry = I-42d

Lattice parameters (Å, degrees): 5.5196 5.5196 5.5196 107.72 107.72 113.03
Fractional positions:
1 Ge 0.0000 0.0000 0.0000
2 Ge 0.7500 0.2500 0.5000
3 W 0.2162 0.6250 0.0912
4 W 0.3750 0.4662 0.5912
5 W 0.5338 0.1250 0.9088
6 W 0.8750 0.7838 0.4088
7 O 0.2500 0.7500 0.5000
8 O 0.5000 0.5000 0.0000